[1]
Material: CaNiOs2
Method: DFT, PBE-GGA
State: optimized geometry

Output
Space group: Fm-3m
Crystal system: cubic
DOS(E_F), states/eV/atom: 1.760
Energy relative to the lowest polymorph listed for this composition, kJ/mol of atoms: 71.7

Cell: 4.4526 4.4526 4.4526 Å, 60.00 60.00 60.00°
Closest atoms and distances in Å follow each position.
Positions (direct):
Os 0.2500 0.2500 0.2500  4 Ni 2.73, 4 Ca 2.73
Ni 0.5000 0.5000 0.5000  8 Os 2.73
Ca 0.0000 0.0000 0.0000  8 Os 2.73
Os 0.7500 0.7500 0.7500  4 Ni 2.73, 4 Ca 2.73



[2]
Material: CaNi2Os
Method: DFT, PBE-GGA
State: optimized geometry

Output
Space group: C2/m
Crystal system: monoclinic
DOS(E_F), states/eV/atom: 0.832
Energy relative to the lowest polymorph listed for this composition, kJ/mol of atoms: 8.7

Cell: 4.3908 4.3908 5.7585 Å, 83.40 83.40 36.02°
Closest atoms and distances in Å follow each position.
Positions (direct):
Ni 0.4903 0.4903 0.5777  4 Ni 2.43-2.72, 3 Os 2.49-2.52
Ca 0.2500 0.2500 0.2500  2 Ca 2.72, 6 Ni 2.92-3.02
Os 0.7500 0.7500 0.7500  6 Ni 2.49-2.52, 2 Os 2.72
Ni 0.0097 0.0097 0.9223  4 Ni 2.43-2.72, 3 Os 2.49-2.52



[3]
Material: CaNi2Os
Method: DFT, PBE-GGA
State: optimized geometry

Output
Space group: Fm-3m
Crystal system: cubic
DOS(E_F), states/eV/atom: 0.931
Energy relative to the lowest polymorph listed for this composition, kJ/mol of atoms: 22.7

Cell: 4.4128 4.4128 4.4128 Å, 60.00 60.00 60.00°
Closest atoms and distances in Å follow each position.
Positions (direct):
Os 0.5000 0.5000 0.5000  8 Ni 2.70
Ca 0.0000 0.0000 0.0000  8 Ni 2.70
Ni 0.7500 0.7500 0.7500  4 Os 2.70, 4 Ca 2.70
Ni 0.2500 0.2500 0.2500  4 Os 2.70, 4 Ca 2.70